Material: BeCr2Cd2
Method: DFT, PBE-GGA
State: relaxed

## Properties
ΔH_f (0 K): 868 meV/atom
Symmetry: No. 127
Size of the total moment: 0.00 μB/cell
ΔE to the lowest computed polymorph: 135.1 meV/atom
V: 16.98 Å³/atom

Cell: 7.2761 7.2761 3.2081 Å, 90.00 90.00 90.00°
Last column: nearest neighbours and their distance in Å.
Sites, in units of the cell vectors:
Cr: 0.0906 0.5906 0.5000  1 Cr 1.86
Cr: 0.5906 0.9094 0.5000  1 Cr 1.86
Cr: 0.9094 0.4094 0.5000  1 Cr 1.86
Cr: 0.4094 0.0906 0.5000  1 Cr 1.86
Be: 0.0000 0.0000 0.0000  4 Cd 2.62
Be: 0.5000 0.5000 0.0000  4 Cd 2.62
Cd: 0.2997 0.7997 0.0000  2 Be 2.62, 6 Cr 2.68-2.77
Cd: 0.7997 0.7003 0.0000  2 Be 2.62, 6 Cr 2.68-2.77
Cd: 0.7003 0.2003 0.0000  2 Be 2.62, 6 Cr 2.68-2.77
Cd: 0.2003 0.2997 0.0000  2 Be 2.62, 6 Cr 2.68-2.77


Material: BeCrCd2
Method: DFT, PBE-GGA
State: relaxed

## Properties
ΔH_f (0 K): 446 meV/atom
Symmetry: No. 35
Size of the total moment: 0.20 μB/cell
V: 15.64 Å³/atom

Cell: 2.7491 2.7491 8.3962 Å, 90.00 90.00 99.60°
Last column: nearest neighbours and their distance in Å.
Sites, in units of the cell vectors:
Cr: 0.0000 0.0000 0.5418  4 Be 2.32-2.57
Be: 0.5000 0.5000 0.7189  4 Cr 2.32-2.57
Cd: 0.0000 0.0000 0.9566  4 Be 2.67-2.90, 4 Cd 2.75
Cd: 0.5000 0.5000 0.2827  4 Cd 2.75, 4 Cr 2.81-3.02


Material: Be2CrCd
Method: DFT, PBE-GGA
State: relaxed

## Properties
ΔH_f (0 K): 443 meV/atom
Symmetry: No. 12
Size of the total moment: 0.00 μB/cell
V: 12.96 Å³/atom

Cell: 4.2041 4.2041 5.0906 Å, 83.29 83.29 35.48°
Last column: nearest neighbours and their distance in Å.
Sites, in units of the cell vectors:
Cr: 0.2500 0.2500 0.2500  6 Be 2.30-2.43, 2 Cr 2.56
Be: 0.9971 0.9971 0.0788  2 Be 2.17, 3 Cr 2.30-2.43
Be: 0.5029 0.5029 0.4212  2 Be 2.17, 3 Cr 2.30-2.43
Cd: 0.7500 0.7500 0.7500  2 Cd 2.56, 6 Be 2.74-2.78, 4 Cr 2.85


The calculation returns the following Fermi-level density of states values, one per record and in order: 6.1 2.0 1.8 states/eV per cell.